No. 1
NdDy2Tm5Th PBE-GGA optimized geometry; density of states at the Fermi level = 22.21 states/eV/cell; E_form = 0.31 eV/atom
1.0
-4.358 4.358 7.465
4.358 -4.358 7.465
4.358 4.358 -7.465
Nd Dy Tm Th
2 4 10 2
Direct
0.250 0.750 0.500 Nd
0.750 0.250 0.500 Nd
0.115 0.615 0.729 Dy
0.385 0.115 0.500 Dy
0.615 0.885 0.500 Dy
0.885 0.385 0.271 Dy
0.000 0.000 0.000 Tm
0.073 0.156 0.500 Tm
0.156 0.656 0.083 Tm
0.344 0.427 0.500 Tm
0.427 0.927 0.083 Tm
0.500 0.500 0.000 Tm
0.573 0.073 0.917 Tm
0.656 0.573 0.500 Tm
0.844 0.344 0.917 Tm
0.927 0.844 0.500 Tm
0.250 0.250 0.000 Th
0.750 0.750 0.000 Th

---

No. 2
Nd4DyTm2Th PBE-GGA optimized geometry; density of states at the Fermi level = 12.79 states/eV/cell; E_form = 0.04 eV/atom
1.0
5.695 -2.560 0.000
5.695 2.560 0.000
-4.569 0.000 9.099
Nd Dy Tm Th
4 1 2 1
Direct
0.248 0.248 0.123 Nd
0.251 0.251 0.627 Nd
0.749 0.749 0.373 Nd
0.752 0.752 0.877 Nd
0.500 0.500 0.500 Dy
0.001 0.001 0.248 Tm
0.999 0.999 0.752 Tm
0.500 0.500 0.000 Th

---

No. 3
NdDy2Tm4Th PBE-GGA optimized geometry; density of states at the Fermi level = 11.82 states/eV/cell; E_form = 0.03 eV/atom
1.0
5.038 0.000 0.000
0.000 5.052 0.000
-0.007 0.000 9.862
Nd Dy Tm Th
1 2 4 1
Direct
0.000 0.000 0.000 Nd
0.000 0.000 0.500 Dy
0.500 0.500 0.000 Dy
0.000 0.500 0.254 Tm
0.000 0.500 0.746 Tm
0.500 0.000 0.254 Tm
0.500 0.000 0.746 Tm
0.500 0.500 0.500 Th

---

No. 4
Nd2Dy5TmTh PBE-GGA optimized geometry; density of states at the Fermi level = 27.55 states/eV/cell; E_form = 0.17 eV/atom
1.0
2.812 -10.022 0.000
2.812 10.022 0.000
0.000 0.000 10.659
Nd Dy Tm Th
4 10 2 2
Direct
0.115 0.885 0.500 Nd
0.116 0.884 0.915 Nd
0.884 0.116 0.415 Nd
0.885 0.115 0.000 Nd
0.016 0.984 0.206 Dy
0.278 0.722 0.499 Dy
0.300 0.700 0.891 Dy
0.390 0.610 0.204 Dy
0.479 0.521 0.919 Dy
0.521 0.479 0.419 Dy
0.610 0.390 0.704 Dy
0.700 0.300 0.391 Dy
0.722 0.278 0.999 Dy
0.984 0.016 0.706 Dy
0.199 0.801 0.192 Tm
0.801 0.199 0.692 Tm
0.414 0.586 0.635 Th
0.586 0.414 0.135 Th

---

No. 5
Nd6Dy3Tm2Th PBE-GGA optimized geometry; density of states at the Fermi level = 16.05 states/eV/cell; E_form = 0.03 eV/atom
1.0
3.127 -5.413 0.000
3.127 5.413 0.000
-2.094 0.000 11.744
Nd Dy Tm Th
6 3 2 1
Direct
0.083 0.413 0.749 Nd
0.247 0.247 0.252 Nd
0.413 0.083 0.749 Nd
0.587 0.917 0.251 Nd
0.753 0.753 0.748 Nd
0.917 0.587 0.251 Nd
0.167 0.833 0.000 Dy
0.500 0.500 0.000 Dy
0.833 0.167 0.000 Dy
0.333 0.667 0.500 Tm
0.667 0.333 0.500 Tm
0.000 0.000 0.500 Th

---

No. 6
NdDyTmTh PBE-GGA optimized geometry; distance to the lowest polymorph of the same formula = 117 meV/atom; density of states at the Fermi level = 8.19 states/eV/cell; E_form = 0.13 eV/atom
1.0
0.000 4.019 4.019
4.019 0.000 4.019
4.019 4.019 0.000
Nd Dy Tm Th
1 1 1 1
Direct
0.000 0.000 0.000 Nd
0.250 0.250 0.250 Dy
0.750 0.750 0.750 Tm
0.500 0.500 0.500 Th

---

No. 7
NdDy2Tm2Th2 PBE-GGA optimized geometry; density of states at the Fermi level = 8.10 states/eV/cell; E_form = 0.13 eV/atom
1.0
8.599 -1.747 0.000
8.599 1.747 0.000
-4.534 0.000 7.616
Nd Dy Tm Th
1 2 2 2
Direct
0.000 0.000 0.000 Nd
0.348 0.348 0.559 Dy
0.652 0.652 0.441 Dy
0.426 0.426 0.274 Tm
0.574 0.574 0.726 Tm
0.267 0.267 0.846 Th
0.733 0.733 0.154 Th

---

No. 8
Nd2DyTm2Th2 PBE-GGA optimized geometry; density of states at the Fermi level = 10.68 states/eV/cell; E_form = 0.17 eV/atom
1.0
8.861 -1.734 0.000
8.861 1.734 0.000
-3.984 0.000 7.550
Nd Dy Tm Th
2 1 2 2
Direct
0.145 0.145 0.373 Nd
0.855 0.855 0.627 Nd
0.500 0.500 0.500 Dy
0.290 0.290 0.199 Tm
0.710 0.710 0.801 Tm
0.066 0.066 0.905 Th
0.934 0.934 0.095 Th